VASP calculation (GGA-PBE) on crystalline Zr2CoIr at its relaxed geometry.

Results
Raw total energy, eV/atom: -8.831
Total magnetic moment, μB per atom: 0.000

Cell lengths 3.4373, 4.1860, 5.2322 Å; angles 90.00, 109.09, 90.00 degrees
Fractional coordinates of all 4 atoms:
1 Zr 0.0000 0.0000 0.0000
2 Zr 0.2866 0.5000 0.5744
3 Co 0.5520 0.5000 0.1046
4 Ir 0.7230 0.0000 0.4469

VASP calculation (GGA-PBE) on crystalline PdPtN2F at its relaxed geometry.

Results
Raw total energy, eV/atom: -4.866
Energy above the most stable polymorph in this dataset, eV/atom: 0.000
Formation energy without anion corrections, meV per atom: 1085.1
Total magnetic moment, μB per atom: 0.000

Cell lengths 3.8029, 3.8029, 4.7378 Å; angles 90.00, 90.00, 90.00 degrees
Fractional coordinates of all 5 atoms:
1 Pd 0.0000 0.0000 0.0000
2 Pt 0.5000 0.5000 0.5000
3 N 0.0000 0.5000 0.5000
4 N 0.5000 0.0000 0.5000
5 F 0.5000 0.5000 0.0000

VASP calculation (GGA-PBE) on crystalline NdSm2H at its relaxed geometry.

Results
Raw total energy, eV/atom: -4.563
Energy above the most stable polymorph in this dataset, eV/atom: 0.000
Total magnetic moment, μB per atom: 0.000

Cell lengths 8.9982, 8.9982, 8.9982 Å; angles 23.70, 23.70, 23.70 degrees
Fractional coordinates of all 4 atoms:
1 Nd 0.0000 0.0000 0.0000
2 Sm 0.2206 0.2206 0.2206
3 Sm 0.7794 0.7794 0.7794
4 H 0.5000 0.5000 0.5000

VASP calculation (GGA-PBE) on crystalline GdInNi at its relaxed geometry.

Results
Raw total energy, eV/atom: -7.895
Total magnetic moment, μB per atom: 2.357

Cell lengths 4.5550, 4.5550, 3.6472 Å; angles 90.00, 90.00, 120.00 degrees
Fractional coordinates of all 3 atoms:
1 Gd 0.0000 0.0000 0.0000
2 In 0.6667 0.3333 0.5000
3 Ni 0.3333 0.6667 0.5000